Entry 1:
# RbGaTcAg2

A geometry-optimized RbGaTcAg2 structure (PBE, Alexandria).

Cell: 5.2735 5.2735 6.0004 Å, 90.00 90.00 90.00°
Last column: nearest neighbours and their distance in Å.
Fractional coordinates of all 5 atoms:
Rb 0.0000 0.0000 0.0000  2 Tc 3.00
Ga 0.5000 0.5000 0.0000  4 Rb 3.73, 8 Ag 3.99
Tc 0.0000 0.0000 0.5000  4 Ag 2.64
Ag 0.0000 0.5000 0.5000  2 Tc 2.64
Ag 0.5000 0.0000 0.5000  2 Tc 2.64

Properties
Its formation enthalpy at 0 K is 125 kJ per mole of atoms. The space group is P4/mmm (123).

Entry 2:
# RbGaAgTe3

A geometry-optimized RbGaAgTe3 structure (PBE, Alexandria).

Cell: 9.7641 4.1908 11.2434 Å, 90.00 108.11 90.00°
Last column: nearest neighbours and their distance in Å.
Fractional coordinates of all 12 atoms:
Rb 0.2089 0.2500 0.2157  5 Te 3.64-3.82
Rb 0.7911 0.7500 0.7843  5 Te 3.64-3.82
Ga 0.0923 0.2500 0.6246  4 Te 2.58-2.76
Ga 0.9077 0.7500 0.3754  4 Te 2.58-2.76
Ag 0.3561 0.7500 0.9063  5 Te 2.87-2.94
Ag 0.6439 0.2500 0.0937  5 Te 2.87-2.94
Te 0.1344 0.2500 0.8631  1 Ga 2.58
Te 0.1924 0.7500 0.5225  3 Ga 2.71-2.76
Te 0.4974 0.7500 0.1789  3 Ag 2.87-2.94
Te 0.5026 0.2500 0.8211  3 Ag 2.87-2.94
Te 0.8076 0.2500 0.4775  3 Ga 2.71-2.76
Te 0.8656 0.7500 0.1369  1 Ga 2.58

Properties
The space group is P2_1/m (11).

Entry 3:
# RbTl2GaAg

A geometry-optimized RbTl2GaAg structure (PBE, Alexandria).

Cell: 5.7565 5.7565 5.1414 Å, 90.00 90.00 90.00°
Last column: nearest neighbours and their distance in Å.
Fractional coordinates of all 5 atoms:
Rb 0.0000 0.0000 0.0000  8 Tl 3.86, 4 Ag 4.07
Tl 0.0000 0.5000 0.5000  2 Ga 2.88
Tl 0.5000 0.0000 0.5000  2 Ga 2.88
Ga 0.5000 0.5000 0.5000  2 Ag 2.57, 4 Tl 2.88
Ag 0.5000 0.5000 0.0000  2 Ga 2.57

Properties
Its formation enthalpy at 0 K is 9 kJ per mole of atoms. The space group is P4/mmm (123).

Entry 4:
# RbZnGaAg2

A geometry-optimized RbZnGaAg2 structure (PBE, Alexandria).

Cell: 5.0821 5.0821 6.4299 Å, 90.00 90.00 90.00°
Last column: nearest neighbours and their distance in Å.
Fractional coordinates of all 5 atoms:
Rb 0.0000 0.0000 0.0000  2 Ga 3.21, 4 Zn 3.59
Zn 0.5000 0.5000 0.0000  4 Rb 3.59
Ga 0.0000 0.0000 0.5000  4 Ag 2.54
Ag 0.0000 0.5000 0.5000  2 Ga 2.54
Ag 0.5000 0.0000 0.5000  2 Ga 2.54

Properties
Its formation enthalpy at 0 K is 38 kJ per mole of atoms. The space group is P4/mmm (123). Its excess energy over the best structure of this formula in the dataset is 140.0 kJ/mol of formula units.

Entry 5:
# RbZnGaAg2

A geometry-optimized RbZnGaAg2 structure (PBE, Alexandria).

Cell: 5.2053 5.2053 4.8720 Å, 90.00 90.00 90.00°
Last column: nearest neighbours and their distance in Å.
Fractional coordinates of all 5 atoms:
Rb 0.0000 0.0000 0.0000  8 Ag 3.56, 4 Zn 3.68
Zn 0.5000 0.5000 0.0000  2 Ga 2.44
Ga 0.5000 0.5000 0.5000  2 Zn 2.44, 4 Ag 2.60
Ag 0.0000 0.5000 0.5000  2 Ga 2.60
Ag 0.5000 0.0000 0.5000  2 Ga 2.60

Properties
Its formation enthalpy at 0 K is 10 kJ per mole of atoms. The space group is P4/mmm (123). Its excess energy over the best structure of this formula in the dataset is 0.0 kJ/mol of formula units.

Entry 6:
# GaRe3Ag

A geometry-optimized GaRe3Ag structure (PBE, Alexandria).

Cell: 4.5329 4.5329 4.5329 Å, 90.00 90.00 90.00°
Last column: nearest neighbours and their distance in Å.
Fractional coordinates of all 5 atoms:
Ga 0.0000 0.0000 0.0000  6 Re 2.27
Re 0.0000 0.0000 0.5000  2 Ga 2.27
Re 0.0000 0.5000 0.0000  2 Ga 2.27
Re 0.5000 0.0000 0.0000  2 Ga 2.27
Ag 0.5000 0.5000 0.5000  12 Re 3.21

Properties
Its formation enthalpy at 0 K is 199 kJ per mole of atoms. The space group is Pm-3m (221). Its excess energy over the best structure of this formula in the dataset is 0.0 kJ/mol of formula units.

Entry 7:
# Ga2ReAg2

A geometry-optimized Ga2ReAg2 structure (PBE, Alexandria).

Cell: 7.6538 7.6538 2.8126 Å, 90.00 90.00 90.00°
Last column: nearest neighbours and their distance in Å.
Fractional coordinates of all 10 atoms:
Ga 0.1771 0.3229 0.0000  6 Ag 2.56-2.74, 2 Ga 2.81
Ga 0.3229 0.8229 0.0000  6 Ag 2.56-2.74, 2 Ga 2.81
Ga 0.6771 0.1771 0.0000  6 Ag 2.56-2.74, 2 Ga 2.81
Ga 0.8229 0.6771 0.0000  6 Ag 2.56-2.74, 2 Ga 2.81
Re 0.0000 0.0000 0.5000  2 Re 2.81, 4 Ag 3.02
Re 0.5000 0.5000 0.5000  2 Re 2.81, 4 Ag 3.02
Ag 0.1257 0.6257 0.5000  6 Ga 2.56-2.74, 3 Ag 2.72-2.81
Ag 0.3743 0.1257 0.5000  6 Ga 2.56-2.74, 3 Ag 2.72-2.81
Ag 0.6257 0.8743 0.5000  6 Ga 2.56-2.74, 3 Ag 2.72-2.81
Ag 0.8743 0.3743 0.5000  6 Ga 2.56-2.74, 3 Ag 2.72-2.81

Properties
Its formation enthalpy at 0 K is 53 kJ per mole of atoms. The space group is P4/mbm (127). Its excess energy over the best structure of this formula in the dataset is 0.0 kJ/mol of formula units.

Entry 8:
# GaReAg2

A geometry-optimized GaReAg2 structure (PBE, Alexandria).

Cell: 4.1190 4.7389 7.8601 Å, 87.55 75.05 64.24°
Last column: nearest neighbours and their distance in Å.
Fractional coordinates of all 8 atoms:
Ga 0.0000 0.0000 0.0000  1 Ga 2.65, 2 Re 2.68-2.94, 6 Ag 2.71-2.94
Ga 0.3728 0.4353 0.8287  5 Re 2.64-2.74, 1 Ga 2.65, 2 Ag 2.72-2.93
Re 0.0942 0.1527 0.6651  3 Re 2.60-2.81, 3 Ga 2.64-2.68, 1 Ag 2.84
Re 0.7339 0.8095 0.7324  3 Re 2.60-2.81, 3 Ga 2.71-2.74, 1 Ag 2.86
Ag 0.2453 0.2701 0.2418  8 Ag 2.76-2.93, 2 Ga 2.93-2.94
Ag 0.4892 0.5460 0.4808  1 Ga 2.72, 6 Ag 2.76-2.99, 3 Re 2.84-2.97
Ag 0.6403 0.6269 0.0938  5 Ga 2.71-2.97, 4 Ag 2.84-2.99, 1 Re 2.91
Ag 0.8615 0.9155 0.3655  6 Ag 2.76-2.84, 1 Ga 2.83, 1 Re 2.86

Properties
Its formation enthalpy at 0 K is 25 kJ per mole of atoms. The space group is P1 (1).

Entry 9:
# GaReAg2

A geometry-optimized GaReAg2 structure (PBE, Alexandria).

Cell: 2.8417 4.3493 10.6961 Å, 90.00 90.32 90.00°
Last column: nearest neighbours and their distance in Å.
Fractional coordinates of all 8 atoms:
Ga 0.2400 0.2500 0.3163  4 Re 2.66-2.81, 5 Ag 2.70-2.86, 2 Ga 2.84
Ga 0.7600 0.7500 0.6837  4 Re 2.66-2.81, 5 Ag 2.70-2.86, 2 Ga 2.84
Re 0.2703 0.7500 0.4596  4 Ga 2.66-2.81, 6 Re 2.68-2.84
Re 0.7297 0.2500 0.5404  4 Ga 2.66-2.81, 6 Re 2.68-2.84
Ag 0.2442 0.2500 0.7887  4 Ga 2.80-2.86, 7 Ag 2.84-3.04, 2 Re 3.00-3.02
Ag 0.2508 0.2500 0.0634  1 Ga 2.70, 7 Ag 2.84-2.94
Ag 0.7492 0.7500 0.9366  1 Ga 2.70, 7 Ag 2.84-2.94
Ag 0.7558 0.7500 0.2113  4 Ga 2.80-2.86, 7 Ag 2.84-3.04, 2 Re 3.00-3.02

Properties
Its formation enthalpy at 0 K is 15 kJ per mole of atoms. The space group is P2_1/m (11).

Entry 10:
# GaReAg2

A geometry-optimized GaReAg2 structure (PBE, Alexandria).

Cell: 4.4898 4.4898 7.8902 Å, 101.43 101.43 60.20°
Last column: nearest neighbours and their distance in Å.
Fractional coordinates of all 8 atoms:
Ga 0.0000 0.0000 0.0000  4 Ag 2.72-2.81, 6 Re 2.72-2.94
Ga 0.5448 0.5448 0.5440  1 Re 2.61, 7 Ag 2.69-2.73
Re 0.2808 0.2808 0.8352  3 Re 2.60-2.66, 1 Ga 2.78, 1 Ag 2.89
Re 0.6315 0.6315 0.8832  3 Re 2.60-2.66, 4 Ga 2.61-2.80
Ag 0.1904 0.1904 0.4397  3 Ga 2.69-2.73, 3 Ag 2.83-2.92
Ag 0.4774 0.4774 0.1929  3 Ag 2.64-2.69, 3 Ga 2.70-2.75, 2 Re 2.89-2.96
Ag 0.8268 0.8268 0.2755  7 Ag 2.64-2.92, 1 Ga 2.81
Ag 0.9017 0.9017 0.6463  4 Ga 2.70-2.72, 1 Ag 2.85, 3 Re 2.97-2.98

Properties
Its formation enthalpy at 0 K is 24 kJ per mole of atoms. The space group is Cm (8).

Entry 11:
# GaReAg2

A geometry-optimized GaReAg2 structure (PBE, Alexandria).

Cell: 10.4930 10.4930 10.4930 Å, 159.60 159.60 29.01°
Last column: nearest neighbours and their distance in Å.
Fractional coordinates of all 8 atoms:
Ga 0.0000 0.0000 0.0000  4 Re 2.63, 4 Ag 2.86
Ga 0.7500 0.2500 0.5000  4 Re 2.63, 4 Ag 2.86
Re 0.2500 0.7500 0.5000  4 Ga 2.63, 4 Ag 2.86
Re 0.5000 0.5000 0.0000  4 Ga 2.63, 4 Ag 2.86
Ag 0.1267 0.6250 0.0017  4 Ag 2.62-2.64, 2 Re 2.86, 2 Ga 2.86
Ag 0.3750 0.3767 0.5017  4 Ag 2.62-2.64, 2 Re 2.86, 2 Ga 2.86
Ag 0.6233 0.1250 0.9983  4 Ag 2.62-2.64, 2 Re 2.86, 2 Ga 2.86
Ag 0.8750 0.8733 0.4983  4 Ag 2.62-2.64, 2 Re 2.86, 2 Ga 2.86

Properties
Its formation enthalpy at 0 K is 68 kJ per mole of atoms. The space group is I-42d (122).

Entry 12:
# GaReAg2

A geometry-optimized GaReAg2 structure (PBE, Alexandria).

Cell: 4.5024 4.6590 7.9201 Å, 92.46 103.32 118.66°
Last column: nearest neighbours and their distance in Å.
Fractional coordinates of all 8 atoms:
Ga 0.0000 0.0000 0.0000  2 Re 2.62-2.69, 6 Ag 2.63-2.91
Ga 0.2984 0.8604 0.6678  6 Re 2.63-2.76, 3 Ag 2.83-2.95
Re 0.6608 0.5448 0.7133  4 Ga 2.62-2.76, 3 Re 2.63-2.75, 1 Ag 2.91
Re 0.9813 0.2058 0.6873  3 Re 2.63-2.75, 4 Ga 2.63-2.71, 2 Ag 2.78-2.82
Ag 0.1976 0.1021 0.3503  5 Ag 2.65-2.90, 2 Ga 2.66-2.83
Ag 0.3286 0.6471 0.0133  3 Ga 2.63-2.69, 2 Ag 2.75-2.93, 1 Re 2.82
Ag 0.5403 0.7566 0.3762  4 Ag 2.65-2.75, 2 Re 2.78-2.91, 1 Ga 2.89
Ag 0.7543 0.3560 0.1779  3 Ga 2.87-3.18, 9 Ag 2.90-3.11

Properties
Its formation enthalpy at 0 K is 24 kJ per mole of atoms. The space group is P1 (1).

Calculated electronic total energy, -2.7219 -3.0576 -2.2201 -1.7995 -2.0896 -6.5837 -4.2929 -5.0376 -5.1437 -5.0418 -4.5885 -5.0408 eV/atom (same order as the records).
Calculated magnetic moment, 3.0 0.0 0.0 0.0 0.0 0.0 0.0 0.0 0.0 0.0 0.0 0.0 μB per formula unit (same order as the records).